[1]
VASP calculation (meta-GGA SCAN) on a crystal of TcIO2 relaxed with PBEsol.

Summary:
- V (Å³/f.u.) = 74.3
- E above lowest polymorph (kcal/mol of atoms) = 0.00
- SG = Fd-3m
- raw formation energy (eV/atom) = -0.794

```
8
Lattice="0.000 4.204 4.204 4.204 0.000 4.204 4.204 4.204 0.000" Properties=species:S:1:pos:R:3 pbc="T T T"
Tc 1.051 1.051 1.051
Tc 7.356 7.356 7.356
I 3.153 3.153 3.153
I 5.254 5.254 5.254
O 0.000 0.000 0.000
O 2.102 2.102 0.000
O 2.102 0.000 2.102
O 0.000 2.102 2.102
```

[2]
VASP calculation (meta-GGA SCAN) on a crystal of TcIO2 relaxed with PBEsol.

Summary:
- V (Å³/f.u.) = 69.7
- E above lowest polymorph (kcal/mol of atoms) = 15.39
- SG = R-3m
- raw formation energy (eV/atom) = -0.127

```
4
Lattice="1.519 0.877 8.724 -1.519 0.877 8.724 0.000 -1.754 8.724" Properties=species:S:1:pos:R:3 pbc="T T T"
Tc 0.000 0.000 0.000
I 0.000 0.000 13.086
O 0.000 0.000 1.724
O 0.000 0.000 24.449
```